Record 1
A relaxed structure of Tb2ZnS, computed with GGA-PBE.

Lattice parameters (Å, degrees): 7.995 7.995 7.995 27.34 27.34 27.34
Atoms (fractional coordinates):
Tb 0.000 0.000 0.000
Tb 0.158 0.158 0.158
Zn 0.579 0.579 0.579
S 0.747 0.747 0.747

size of the total moment	0.0	μB per cell
total energy	-4.667	eV per atom
mass density	7.2	g/cm3
E_form (uncorrected)	-1.002	eV/atom

---

Record 2
A relaxed structure of Sc2OsBr, computed with GGA-PBE.

Lattice parameters (Å, degrees): 4.013 4.013 8.267 111.98 111.98 48.89
Atoms (fractional coordinates):
Sc 0.197 0.197 0.310
Sc 0.803 0.803 0.690
Os 0.000 0.000 0.500
Br 0.500 0.500 0.000

size of the total moment	0.0	μB per cell
total energy	-6.987	eV per atom
mass density	6.5	g/cm3
E_form (uncorrected)	-0.596	eV/atom

---

Record 3
A relaxed structure of Tl2FeSe, computed with GGA-PBE.

Lattice parameters (Å, degrees): 4.862 4.862 4.009 90.00 90.00 90.00
Atoms (fractional coordinates):
Tl 0.000 0.500 0.000
Tl 0.500 0.000 0.000
Fe 0.000 0.000 0.500
Se 0.500 0.500 0.500

size of the total moment	3.2	μB per cell
total energy	-3.744	eV per atom
mass density	9.5	g/cm3
E_form (uncorrected)	0.426	eV/atom

---

Record 4
A relaxed structure of LaRuSe2, computed with GGA-PBE.

Lattice parameters (Å, degrees): 4.022 4.524 5.717 90.00 109.44 90.00
Atoms (fractional coordinates):
La 0.000 0.000 0.000
Ru 0.643 0.500 0.313
Se 0.431 0.500 0.855
Se 0.707 0.000 0.434

size of the total moment	0.1	μB per cell
total energy	-6.159	eV per atom
mass density	6.7	g/cm3
E_form (uncorrected)	-0.866	eV/atom

---

Record 5
A relaxed structure of TiBeV, computed with GGA-PBE.

Lattice parameters (Å, degrees): 4.906 4.906 4.906 125.51 120.32 85.08
Atoms (fractional coordinates):
Ti 0.366 0.116 0.250
Ti 0.634 0.884 0.750
Be 0.000 0.500 0.500
Be 0.500 0.500 0.000
V 0.000 0.000 0.500
V 0.000 0.500 0.000

size of the total moment	0.0	μB per cell
total energy	-6.942	eV per atom
mass density	4.5	g/cm3
energy of formation from the pure elements	-0.029	eV/atom

---

Record 6
A relaxed structure of NdScRu, computed with GGA-PBE.

Lattice parameters (Å, degrees): 4.719 4.719 4.719 60.00 60.00 60.00
Atoms (fractional coordinates):
Nd 0.000 0.000 0.000
Sc 0.500 0.500 0.500
Ru 0.250 0.250 0.250

size of the total moment	0.0	μB per cell
total energy	-6.970	eV per atom
mass density	6.5	g/cm3
energy of formation from the pure elements	-0.178	eV/atom

---

Record 7
A relaxed structure of Ac8AuSe4S3, computed with GGA-PBE.

Lattice parameters (Å, degrees): 8.908 8.908 8.908 59.34 59.34 59.34
Atoms (fractional coordinates):
Ac 0.242 0.750 0.750
Ac 0.245 0.245 0.245
Ac 0.250 0.250 0.758
Ac 0.250 0.758 0.250
Ac 0.750 0.242 0.750
Ac 0.750 0.750 0.242
Ac 0.755 0.755 0.755
Ac 0.758 0.250 0.250
Au 0.500 0.500 0.500
Se 0.000 0.000 0.000
Se 0.000 0.500 0.500
Se 0.500 0.000 0.500
Se 0.500 0.500 0.000
S 0.000 0.000 0.500
S 0.000 0.500 0.000
S 0.500 0.000 0.000

size of the total moment	0.0	μB per cell
total energy	-5.677	eV per atom
mass density	8.2	g/cm3
E_form (uncorrected)	-1.773	eV/atom

---

Record 8
A relaxed structure of ReNi2Pt, computed with GGA-PBE.

Lattice parameters (Å, degrees): 5.774 5.774 8.882 126.70 126.70 26.81
Atoms (fractional coordinates):
Re 0.056 0.056 0.176
Re 0.944 0.944 0.824
Ni 0.312 0.312 0.942
Ni 0.433 0.433 0.293
Ni 0.567 0.567 0.707
Ni 0.688 0.688 0.058
Pt 0.180 0.180 0.569
Pt 0.820 0.820 0.431

size of the total moment	0.0	μB per cell
total energy	-7.577	eV per atom
mass density	15.7	g/cm3
energy of formation from the pure elements	-0.064	eV/atom

---

Record 9
A relaxed structure of Ba3TeAs, computed with GGA-PBE.

Lattice parameters (Å, degrees): 7.061 6.220 9.824 90.00 90.00 90.00
Atoms (fractional coordinates):
Ba 0.000 0.000 0.000
Ba 0.250 0.000 0.371
Ba 0.250 0.500 0.763
Ba 0.500 0.000 0.000
Ba 0.750 0.000 0.629
Ba 0.750 0.500 0.237
Te 0.250 0.500 0.142
Te 0.750 0.500 0.858
As 0.250 0.000 0.699
As 0.750 0.000 0.301

size of the total moment	0.7	μB per cell
total energy	-3.848	eV per atom
mass density	4.7	g/cm3
E_form (uncorrected)	-1.136	eV/atom

---

Record 10
A relaxed structure of RbPrMgO3, computed with GGA-PBE.

Lattice parameters (Å, degrees): 7.921 3.716 8.711 90.00 104.23 90.00
Atoms (fractional coordinates):
Rb 0.179 0.250 0.189
Rb 0.821 0.750 0.811
Pr 0.346 0.750 0.850
Pr 0.654 0.250 0.150
Mg 0.082 0.250 0.605
Mg 0.918 0.750 0.395
O 0.145 0.250 0.838
O 0.149 0.750 0.556
O 0.449 0.750 0.126
O 0.551 0.250 0.874
O 0.851 0.250 0.444
O 0.855 0.750 0.162

size of the total moment	0.0	μB per cell
total energy	-6.159	eV per atom
mass density	4.0	g/cm3
E_form (uncorrected)	-2.456	eV/atom

---

Record 11
A relaxed structure of CrCuNi2, computed with GGA-PBE.

Lattice parameters (Å, degrees): 4.372 4.372 2.509 90.00 90.00 108.39
Atoms (fractional coordinates):
Cr 0.000 0.000 0.000
Cu 0.500 0.500 0.000
Ni 0.000 0.500 0.500
Ni 0.500 0.000 0.500

size of the total moment	1.6	μB per cell
total energy	-6.190	eV per atom
mass density	8.5	g/cm3
energy of formation from the pure elements	0.131	eV/atom